No. 1
Entry from Alexandria: crystalline SmHo8Ga6 at its relaxed geometry (PBE).

a b c (Å): 8.633 8.633 7.905
angles (deg): 56.90 56.90 60.00
Element x y z (fractional)
1 Ga 0.603 0.940 0.179
2 Ga 0.278 0.603 0.179
3 Ga 0.060 0.722 0.821
4 Ga 0.940 0.278 0.179
5 Ga 0.722 0.397 0.821
6 Ga 0.397 0.060 0.821
7 Ho 0.888 0.555 0.335
8 Ho 0.222 0.888 0.335
9 Ho 0.778 0.112 0.665
10 Ho 0.555 0.222 0.335
11 Ho 0.333 0.333 0.002
12 Ho 0.112 0.445 0.665
13 Ho 0.667 0.667 0.998
14 Ho 0.445 0.778 0.665
15 Sm 0.000 0.000 0.000

calculated formation energy	-0.3578	eV/atom
crystal system	trigonal
space-group type	R-3



No. 2
Entry from Alexandria: crystalline ScTeO3 at its relaxed geometry (PBE).

a b c (Å): 4.176 4.176 4.176
angles (deg): 90.00 90.00 90.00
Element x y z (fractional)
1 O 0.000 0.500 0.000
2 O 0.500 0.000 0.000
3 O 0.000 0.000 0.500
4 Te 0.000 0.000 0.000
5 Sc 0.500 0.500 0.500

crystal system	cubic
formation energy (no corrections)	-4.83	eV/f.u.
space-group type	Pm-3m



Please write out number 2 again, unchanged.
Entry from Alexandria: crystalline ScTeO3 at its relaxed geometry (PBE).

a b c (Å): 4.176 4.176 4.176
angles (deg): 90.00 90.00 90.00
Element x y z (fractional)
1 O 0.000 0.500 0.000
2 O 0.500 0.000 0.000
3 O 0.000 0.000 0.500
4 Te 0.000 0.000 0.000
5 Sc 0.500 0.500 0.500

crystal system	cubic
formation energy (no corrections)	-4.83	eV/f.u.
space-group type	Pm-3m



Question: Which formula does entry 2 have?
Answer: ScTeO3